1.
The following is a SCAN calculation of a crystal of LaTl3Cl relaxed with PBEsol, from Alexandria.

Unit cell a=6.121 b=6.121 c=6.121 alpha=90.00 beta=90.00 gamma=90.00
Positions (direct):
1 Tl 0.000 0.500 0.000
2 Tl 0.000 0.000 0.500
3 Tl 0.500 0.000 0.000
4 Cl 0.500 0.500 0.500
5 La 0.000 0.000 0.000

Crystal system ... cubic
E_form (uncorrected) ... 0.28 eV/atom
Symmetry ... Pm-3m (221)
Electronic total energy ... -53.35 eV per atom
Total moment ... 0.0 μB per cell


2.
The following is a SCAN calculation of a crystal of As4P relaxed with PBEsol, from Alexandria.

Unit cell a=5.095 b=5.095 c=5.095 alpha=109.47 beta=109.47 gamma=109.47
Positions (direct):
1 As 0.000 0.000 0.500
2 As 0.000 0.500 0.000
3 As 0.500 0.000 0.000
4 As 0.500 0.500 0.500
5 P 0.000 0.000 0.000

Crystal system ... cubic
Symmetry ... Im-3m (229)
Formation enthalpy at 0 K ... 0.53 eV per atom
Electronic total energy ... -17.70 eV per atom
Total moment ... 0.0 μB per cell


3.
The following is a SCAN calculation of a crystal of SrCrMo3 relaxed with PBEsol, from Alexandria.

Unit cell a=4.656 b=4.656 c=4.656 alpha=90.00 beta=90.00 gamma=90.00
Positions (direct):
1 Sr 0.000 0.000 0.000
2 Mo 0.000 0.500 0.000
3 Mo 0.000 0.000 0.500
4 Mo 0.500 0.000 0.000
5 Cr 0.500 0.500 0.500

Crystal system ... cubic
Symmetry ... Pm-3m (221)
Formation enthalpy at 0 K ... 3.22 eV per atom
Electronic total energy ... -25.84 eV per atom
Total moment ... 3.6 μB per cell


4.
The following is a SCAN calculation of a crystal of CaHgAsBr2 relaxed with PBEsol, from Alexandria.

Unit cell a=5.421 b=5.421 c=5.978 alpha=90.00 beta=90.00 gamma=90.00
Positions (direct):
1 As 0.000 0.000 0.500
2 Ca 0.000 0.000 0.000
3 Hg 0.500 0.500 0.500
4 Br 0.000 0.500 0.000
5 Br 0.500 0.000 0.000

Crystal system ... tetragonal
E_form (uncorrected) ... -0.54 eV/atom
Symmetry ... P4/mmm (123)
Electronic total energy ... -27.93 eV per atom
Total moment ... 2.5 μB per cell


5.
The following is a SCAN calculation of a crystal of Mg2Tc relaxed with PBEsol, from Alexandria.

Unit cell a=2.746 b=2.746 c=7.120 alpha=101.12 beta=101.12 gamma=90.00
Positions (direct):
1 Mg 0.654 0.654 0.307
2 Mg 0.346 0.346 0.693
3 Tc 0.000 0.000 0.000

Energy above the lowest structure with this stoichiometry ... 159 meV/atom
Crystal system ... tetragonal
Symmetry ... I4/mmm (139)
Formation enthalpy at 0 K ... 0.24 eV per atom
Electronic total energy ... -14.76 eV per atom
Total moment ... 0.0 μB per cell


6.
The following is a SCAN calculation of a crystal of GaAsO4 relaxed with PBEsol, from Alexandria.

Unit cell a=8.227 b=9.343 c=8.819 alpha=118.11 beta=90.00 gamma=116.12
Positions (direct):
1 Ga 0.662 0.358 0.426
2 Ga 0.036 0.015 0.256
3 Ga 0.305 0.642 0.574
4 Ga 0.673 0.368 0.938
5 Ga 0.021 0.985 0.744
6 Ga 0.305 0.632 0.062
7 Ga 0.361 0.000 0.000
8 Ga 0.963 0.296 0.652
9 Ga 0.667 0.704 0.348
10 As 0.667 0.688 0.847
11 As 0.327 0.331 0.675
12 As 0.672 0.011 0.254
13 As 0.004 0.662 0.827
14 As 0.342 0.338 0.173
15 As 0.362 0.000 0.500
16 As 0.980 0.312 0.153
17 As 0.996 0.669 0.325
18 As 0.661 0.989 0.746
19 O 0.122 0.876 0.820
20 O 0.246 0.124 0.180
21 O 0.779 0.579 0.673
22 O 0.887 0.774 0.996
23 O 0.201 0.421 0.327
24 O 0.886 0.111 0.181
25 O 0.775 0.889 0.819
26 O 0.550 0.466 0.852
27 O 0.442 0.220 0.507
28 O 0.138 0.887 0.323
29 O 0.251 0.113 0.677
30 O 0.446 0.550 0.670
31 O 0.556 0.786 0.025
32 O 0.792 0.588 0.170
33 O 0.124 0.226 0.503
34 O 0.452 0.882 0.805
35 O 0.570 0.118 0.195
36 O 0.898 0.774 0.497
37 O 0.205 0.412 0.830
38 O 0.212 0.766 0.999
39 O 0.875 0.083 0.686
40 O 0.792 0.917 0.314
41 O 0.546 0.460 0.353
42 O 0.446 0.234 0.001
43 O 0.086 0.540 0.647
44 O 0.435 0.550 0.164
45 O 0.544 0.781 0.530
46 O 0.764 0.219 0.470
47 O 0.885 0.450 0.836
48 O 0.112 0.226 0.004
49 O 0.454 0.888 0.313
50 O 0.566 0.112 0.687
51 O 0.221 0.780 0.493
52 O 0.084 0.534 0.148
53 O 0.770 0.214 0.975
54 O 0.896 0.450 0.330

Crystal system ... monoclinic
E_form (uncorrected) ... -1.62 eV/atom
Symmetry ... C2 (5)
Electronic total energy ... -11.86 eV per atom
Total moment ... 0.0 μB per cell